# 1
DFT (GGA-PBE) results for a relaxed PrTlPb crystal.

a = 6.2017 Å, b = 6.2017 Å, c = 6.5723 Å
α = 90.00°, β = 90.00°, γ = 133.15°
Closest atoms and distances in Å follow each position.
Atoms (fractional coordinates):
Pr1 0.1528 0.8472 0.7500  5 Pb 3.29-3.49, 4 Tl 3.44
Pr2 0.8472 0.1528 0.2500  5 Pb 3.29-3.49, 4 Tl 3.44
Tl1 0.5000 0.5000 0.0000  2 Tl 3.29, 4 Pr 3.44, 4 Pb 3.44
Tl2 0.5000 0.5000 0.5000  2 Tl 3.29, 4 Pr 3.44, 4 Pb 3.44
Pb1 0.1536 0.8464 0.2500  5 Pr 3.29-3.49, 4 Tl 3.44
Pb2 0.8464 0.1536 0.7500  5 Pr 3.29-3.49, 4 Tl 3.44

Calculated values
- Relative energy among the computed polymorphs: 0 meV/atom
- Symmetry: No. 63
- Calculated volume: 30.7 A^3/atom
- Electronic total energy: -3.99 eV per atom
- Calculated formation energy: -0.37 eV/atom



# 2
DFT (GGA-PBE) results for a relaxed PPt2Pb crystal.

a = 5.1207 Å, b = 5.1207 Å, c = 5.1207 Å
α = 137.04°, β = 108.94°, γ = 86.76°
Closest atoms and distances in Å follow each position.
Atoms (fractional coordinates):
P1 0.0000 0.0000 0.0000  4 Pt 2.32
Pt1 0.1846 0.6846 0.5000  2 P 2.32
Pt2 0.8154 0.3154 0.5000  2 P 2.32
Pb1 0.5000 0.5000 0.0000  8 Pt 3.00-3.28

Calculated values
- Relative energy among the computed polymorphs: 322 meV/atom
- Symmetry: No. 71
- Calculated volume: 20.8 A^3/atom
- Electronic total energy: -5.26 eV per atom
- Calculated formation energy: 0.04 eV/atom



# 3
DFT (GGA-PBE) results for a relaxed TaAuN2F crystal.

a = 4.0967 Å, b = 4.0967 Å, c = 4.0431 Å
α = 90.00°, β = 90.00°, γ = 90.00°
Closest atoms and distances in Å follow each position.
Atoms (fractional coordinates):
Ta1 0.0000 0.0000 0.0000  2 F 2.02, 4 N 2.05
Au1 0.5000 0.5000 0.5000  8 N 2.88, 4 F 2.90
N1 0.0000 0.5000 0.0000  2 Ta 2.05
N2 0.5000 0.0000 0.0000  2 Ta 2.05
F1 0.0000 0.0000 0.5000  2 Ta 2.02

Calculated values
- Relative energy among the computed polymorphs: 0 meV/atom
- Symmetry: No. 123
- Calculated volume: 13.6 A^3/atom
- Uncorrected formation energy: -270 meV/atom
- Electronic total energy: -7.00 eV per atom



# 4
DFT (GGA-PBE) results for a relaxed SnPbSe2Br crystal.

a = 5.3872 Å, b = 5.3872 Å, c = 5.5755 Å
α = 90.00°, β = 90.00°, γ = 90.00°
Closest atoms and distances in Å follow each position.
Atoms (fractional coordinates):
Sn1 0.0000 0.0000 0.0000  4 Pb 3.81, 8 Se 3.88
Pb1 0.5000 0.5000 0.0000  2 Br 2.79
Se1 0.0000 0.5000 0.5000  2 Br 2.69
Se2 0.5000 0.0000 0.5000  2 Br 2.69
Br1 0.5000 0.5000 0.5000  4 Se 2.69, 2 Pb 2.79

Calculated values
- Relative energy among the computed polymorphs: 713 meV/atom
- Symmetry: No. 123
- Calculated volume: 32.4 A^3/atom
- Uncorrected formation energy: 565 meV/atom
- Electronic total energy: -2.71 eV per atom



# 5
DFT (GGA-PBE) results for a relaxed HfAlAu crystal.

a = 6.6994 Å, b = 6.6994 Å, c = 3.8924 Å
α = 90.00°, β = 90.00°, γ = 140.59°
Closest atoms and distances in Å follow each position.
Atoms (fractional coordinates):
Hf1 0.0915 0.9085 0.7500  4 Au 2.82-3.01, 6 Al 2.99-3.09, 2 Hf 3.02
Hf2 0.9085 0.0915 0.2500  4 Au 2.82-3.01, 6 Al 2.99-3.09, 2 Hf 3.02
Al1 0.4242 0.5758 0.7500  2 Au 2.72, 2 Al 2.73, 4 Hf 2.99
Al2 0.5758 0.4242 0.2500  2 Au 2.72, 2 Al 2.73, 4 Hf 2.99
Au1 0.2740 0.7260 0.2500  2 Al 2.72, 4 Hf 2.82-3.01
Au2 0.7260 0.2740 0.7500  2 Al 2.72, 4 Hf 2.82-3.01

Calculated values
- Symmetry: No. 63
- Calculated volume: 18.5 A^3/atom
- Electronic total energy: -6.13 eV per atom
- Calculated formation energy: -0.48 eV/atom



# 6
DFT (GGA-PBE) results for a relaxed TaTl2W crystal.

a = 4.1696 Å, b = 4.1696 Å, c = 4.6368 Å
α = 90.00°, β = 90.00°, γ = 90.00°
Closest atoms and distances in Å follow each position.
Atoms (fractional coordinates):
Ta1 0.0000 0.0000 0.0000  4 W 2.95, 8 Tl 3.12
Tl1 0.0000 0.5000 0.5000  4 Tl 2.95, 4 Ta 3.12, 4 W 3.12
Tl2 0.5000 0.0000 0.5000  4 Tl 2.95, 4 Ta 3.12, 4 W 3.12
W1 0.5000 0.5000 0.0000  4 Ta 2.95, 8 Tl 3.12

Calculated values
- Relative energy among the computed polymorphs: 483 meV/atom
- Symmetry: No. 123
- Calculated volume: 20.2 A^3/atom
- Electronic total energy: -6.39 eV per atom
- Calculated formation energy: 1.00 eV/atom



> Among the records above, which one has the lowest calculated volume?

TaAuN2F



> What is the formula in the fourth record?

SnPbSe2Br



> The highest calculated volume belongs to which entry?

SnPbSe2Br